V2Ir5Ru: relaxed, PBE.

Cell: 5.4264 10.8554 3.8226 Å, 90.00 90.00 90.00°
Last column: nearest neighbours and their distance in Å.
Element x y z (fractional)
V: 0.2453 0.1228 0.0000  10 Ir 2.68-2.75, 2 Ru 2.68
V: 0.2547 0.6228 0.0000  10 Ir 2.68-2.75, 2 Ru 2.68
V: 0.7453 0.3772 0.0000  10 Ir 2.68-2.75, 2 Ru 2.68
V: 0.7547 0.8772 0.0000  10 Ir 2.68-2.75, 2 Ru 2.68
Ir: 0.0000 0.5000 0.5000  6 Ir 2.71-2.72, 4 V 2.71, 2 Ru 2.71
Ir: 0.0006 0.7504 0.5000  7 Ir 2.71-2.72, 4 V 2.71-2.73, 1 Ru 2.71
Ir: 0.2480 0.8761 0.0000  4 V 2.68-2.75, 2 Ru 2.70, 6 Ir 2.71-2.72
Ir: 0.2520 0.3761 0.0000  4 V 2.68-2.75, 2 Ru 2.70, 6 Ir 2.71-2.72
Ir: 0.4994 0.2504 0.5000  7 Ir 2.71-2.72, 4 V 2.71-2.73, 1 Ru 2.71
Ir: 0.5000 0.0000 0.5000  6 Ir 2.71-2.72, 4 V 2.71, 2 Ru 2.71
Ir: 0.5006 0.7496 0.5000  7 Ir 2.71-2.72, 4 V 2.71-2.73, 1 Ru 2.71
Ir: 0.7480 0.6239 0.0000  4 V 2.68-2.75, 2 Ru 2.70, 6 Ir 2.71-2.72
Ir: 0.7520 0.1239 0.0000  4 V 2.68-2.75, 2 Ru 2.70, 6 Ir 2.71-2.72
Ir: 0.9994 0.2496 0.5000  7 Ir 2.71-2.72, 4 V 2.71-2.73, 1 Ru 2.71
Ru: 0.0000 0.0000 0.5000  4 V 2.68, 8 Ir 2.70-2.71
Ru: 0.5000 0.5000 0.5000  4 V 2.68, 8 Ir 2.70-2.71

Calculated values
The calculation puts the formation energy at -437 meV per atom. The value obtained for the total magnetization is 0.000 μB per formula unit.

VIr4Ru2: relaxed, PBE.

Cell: 10.5745 4.6906 10.9371 Å, 73.11 25.12 81.77°
Last column: nearest neighbours and their distance in Å.
Element x y z (fractional)
V: 0.0000 0.0000 0.0000  4 Ir 2.47-2.49, 2 Ru 2.72
V: 0.2500 0.2500 0.2500  4 Ir 2.47-2.49, 2 Ru 2.72
Ir: 0.1734 0.7923 0.5118  1 V 2.49, 6 Ir 2.59-2.74, 4 Ru 2.73-2.76
Ir: 0.2344 0.2594 0.9540  1 V 2.47, 6 Ir 2.59-2.74, 2 Ru 2.73-2.75
Ir: 0.2594 0.2344 0.5522  1 V 2.47, 6 Ir 2.59-2.74, 2 Ru 2.73-2.75
Ir: 0.2960 0.6978 0.0156  1 V 2.47, 6 Ir 2.59-2.74, 2 Ru 2.73-2.75
Ir: 0.6978 0.2960 0.9906  1 V 2.47, 6 Ir 2.59-2.74, 2 Ru 2.73-2.75
Ir: 0.7274 0.7382 0.4577  1 V 2.49, 6 Ir 2.59-2.74, 4 Ru 2.73-2.76
Ir: 0.7382 0.7274 0.0766  1 V 2.49, 6 Ir 2.59-2.74, 4 Ru 2.73-2.76
Ir: 0.7923 0.1734 0.5226  1 V 2.49, 6 Ir 2.59-2.74, 4 Ru 2.73-2.76
Ru: 0.3079 0.6625 0.6447  1 Ru 2.56, 1 V 2.72, 7 Ir 2.73-2.78
Ru: 0.6053 0.8651 0.9421  1 Ru 2.56, 1 V 2.72, 7 Ir 2.73-2.78
Ru: 0.6625 0.3079 0.3849  1 Ru 2.56, 1 V 2.72, 7 Ir 2.73-2.78
Ru: 0.8651 0.6053 0.5875  1 Ru 2.56, 1 V 2.72, 7 Ir 2.73-2.78

Calculated values
The calculation puts the formation energy at 66 meV per atom. The value obtained for the total magnetization is 0.000 μB per formula unit.

V4IrRu3: relaxed, PBE.

Cell: 3.3616 4.0550 8.1129 Å, 90.00 90.00 90.00°
Last column: nearest neighbours and their distance in Å.
Element x y z (fractional)
V: 0.0000 0.0000 0.0000  8 Ru 2.63-2.65, 4 V 2.86
V: 0.0000 0.0000 0.5000  4 Ru 2.62, 4 Ir 2.63, 4 V 2.88
V: 0.0000 0.5000 0.2478  6 Ru 2.62-2.63, 2 Ir 2.65, 4 V 2.86-2.88
V: 0.0000 0.5000 0.7522  6 Ru 2.62-2.63, 2 Ir 2.65, 4 V 2.86-2.88
Ir: 0.5000 0.5000 0.5000  8 V 2.63-2.65, 4 Ru 2.85
Ru: 0.5000 0.0000 0.2529  8 V 2.62-2.65, 2 Ir 2.85, 2 Ru 2.88
Ru: 0.5000 0.0000 0.7471  8 V 2.62-2.65, 2 Ir 2.85, 2 Ru 2.88
Ru: 0.5000 0.5000 0.0000  8 V 2.62-2.63, 4 Ru 2.88

Calculated values
The calculation puts the formation energy at -253 meV per atom. The value obtained for the total magnetization is 1.365 μB per formula unit.

V4IrRu2: relaxed, PBE.

Cell: 4.5535 4.5535 12.2218 Å, 90.00 90.00 90.00°
Last column: nearest neighbours and their distance in Å.
Element x y z (fractional)
V: 0.0000 0.0000 0.2012  1 Ru 2.25, 1 Ir 2.46
V: 0.0000 0.0000 0.7988  1 Ru 2.25, 1 Ir 2.46
V: 0.0000 0.5000 0.0000  2 Ir 2.28
V: 0.0000 0.5000 0.5000  2 Ir 2.28
V: 0.5000 0.0000 0.0000  2 Ir 2.28
V: 0.5000 0.0000 0.5000  2 Ir 2.28
V: 0.5000 0.5000 0.2988  1 Ru 2.25, 1 Ir 2.46
V: 0.5000 0.5000 0.7012  1 Ru 2.25, 1 Ir 2.46
Ir: 0.0000 0.0000 0.0000  6 V 2.28-2.46
Ir: 0.5000 0.5000 0.5000  6 V 2.28-2.46
Ru: 0.0000 0.0000 0.3849  1 V 2.25
Ru: 0.0000 0.0000 0.6151  1 V 2.25
Ru: 0.5000 0.5000 0.1151  1 V 2.25
Ru: 0.5000 0.5000 0.8849  1 V 2.25

Calculated values
The calculation puts the formation energy at 879 meV per atom. The value obtained for the total magnetization is 3.665 μB per formula unit.

V5IrRu2: relaxed, PBE.

Cell: 4.2520 4.2520 12.0343 Å, 90.00 90.00 90.00°
Last column: nearest neighbours and their distance in Å.
Element x y z (fractional)
V: 0.0000 0.0000 0.0000  8 V 2.59
V: 0.0000 0.5000 0.1233  2 Ir 2.59, 2 V 2.59, 4 Ru 2.61-2.63
V: 0.0000 0.5000 0.3767  2 Ir 2.59, 2 V 2.59, 4 Ru 2.61-2.63
V: 0.0000 0.5000 0.6233  2 Ir 2.59, 2 V 2.59, 4 Ru 2.61-2.63
V: 0.0000 0.5000 0.8767  2 Ir 2.59, 2 V 2.59, 4 Ru 2.61-2.63
V: 0.5000 0.0000 0.1233  2 Ir 2.59, 2 V 2.59, 4 Ru 2.61-2.63
V: 0.5000 0.0000 0.3767  2 Ir 2.59, 2 V 2.59, 4 Ru 2.61-2.63
V: 0.5000 0.0000 0.6233  2 Ir 2.59, 2 V 2.59, 4 Ru 2.61-2.63
V: 0.5000 0.0000 0.8767  2 Ir 2.59, 2 V 2.59, 4 Ru 2.61-2.63
V: 0.5000 0.5000 0.5000  8 V 2.59
Ir: 0.0000 0.0000 0.5000  8 V 2.59
Ir: 0.5000 0.5000 0.0000  8 V 2.59
Ru: 0.0000 0.0000 0.2514  8 V 2.61-2.63
Ru: 0.0000 0.0000 0.7486  8 V 2.61-2.63
Ru: 0.5000 0.5000 0.2486  8 V 2.61-2.63
Ru: 0.5000 0.5000 0.7514  8 V 2.61-2.63

Calculated values
The calculation puts the formation energy at -328 meV per atom. The value obtained for the total magnetization is 0.002 μB per formula unit.

V6Ir5Ru: relaxed, PBE.

Cell: 4.5786 5.5242 6.6192 Å, 90.00 93.98 90.00°
Last column: nearest neighbours and their distance in Å.
Element x y z (fractional)
V: 0.0000 0.2502 0.0000  6 Ir 2.65-2.67, 2 Ru 2.67, 4 V 2.76-2.79
V: 0.0000 0.7498 0.0000  6 Ir 2.65-2.67, 2 Ru 2.67, 4 V 2.76-2.79
V: 0.3399 0.2488 0.6660  7 Ir 2.66-2.69, 1 Ru 2.66, 4 V 2.73-2.79
V: 0.3399 0.7512 0.6660  7 Ir 2.66-2.69, 1 Ru 2.66, 4 V 2.73-2.79
V: 0.6601 0.2488 0.3340  7 Ir 2.66-2.69, 1 Ru 2.66, 4 V 2.73-2.79
V: 0.6601 0.7512 0.3340  7 Ir 2.66-2.69, 1 Ru 2.66, 4 V 2.73-2.79
Ir: 0.1596 0.0000 0.3309  8 V 2.65-2.69, 3 Ir 2.76, 1 Ru 2.78
Ir: 0.1637 0.5000 0.3327  8 V 2.66-2.69, 4 Ir 2.76-2.77
Ir: 0.5000 0.5000 0.0000  8 V 2.67, 2 Ru 2.76, 2 Ir 2.77
Ir: 0.8363 0.5000 0.6673  8 V 2.66-2.69, 4 Ir 2.76-2.77
Ir: 0.8404 0.0000 0.6691  8 V 2.65-2.69, 3 Ir 2.76, 1 Ru 2.78
Ru: 0.5000 0.0000 0.0000  8 V 2.66-2.67, 4 Ir 2.76-2.78

Calculated values
The calculation puts the formation energy at -435 meV per atom. The value obtained for the total magnetization is 0.001 μB per formula unit.

VIrRu3: relaxed, PBE.

Cell: 4.6686 4.6686 4.6686 Å, 90.00 90.00 90.00°
Last column: nearest neighbours and their distance in Å.
Element x y z (fractional)
V: 0.0000 0.0000 0.0000  12 Ru 3.30
Ir: 0.5000 0.5000 0.5000  6 Ru 2.33
Ru: 0.0000 0.5000 0.5000  2 Ir 2.33
Ru: 0.5000 0.0000 0.5000  2 Ir 2.33
Ru: 0.5000 0.5000 0.0000  2 Ir 2.33

Calculated values
The calculation puts the formation energy at 1799 meV per atom. The value obtained for the total magnetization is 1.518 μB per formula unit.

V2Ir2Ru: relaxed, PBE.

Cell: 7.2717 7.2717 2.7335 Å, 90.00 90.00 90.00°
Last column: nearest neighbours and their distance in Å.
Element x y z (fractional)
V: 0.1271 0.3729 0.0000  6 Ir 2.49-2.58, 3 V 2.61-2.73
V: 0.3729 0.8729 0.0000  6 Ir 2.49-2.58, 3 V 2.61-2.73
V: 0.6271 0.1271 0.0000  6 Ir 2.49-2.58, 3 V 2.61-2.73
V: 0.8729 0.6271 0.0000  6 Ir 2.49-2.58, 3 V 2.61-2.73
Ir: 0.1705 0.6705 0.5000  6 V 2.49-2.58, 2 Ir 2.73
Ir: 0.3295 0.1705 0.5000  6 V 2.49-2.58, 2 Ir 2.73
Ir: 0.6705 0.8295 0.5000  6 V 2.49-2.58, 2 Ir 2.73
Ir: 0.8295 0.3295 0.5000  6 V 2.49-2.58, 2 Ir 2.73
Ru: 0.0000 0.0000 0.0000  2 Ru 2.73, 4 V 2.86, 8 Ir 3.02
Ru: 0.5000 0.5000 0.0000  2 Ru 2.73, 4 V 2.86, 8 Ir 3.02

Calculated values
The calculation puts the formation energy at -120 meV per atom. The value obtained for the total magnetization is 0.000 μB per formula unit.

V4Ir2Ru: relaxed, PBE.

Cell: 4.4630 4.4630 12.4126 Å, 90.00 90.00 90.00°
Last column: nearest neighbours and their distance in Å.
Element x y z (fractional)
V: 0.0000 0.0000 0.1952  1 Ir 2.36, 1 Ru 2.42
V: 0.0000 0.0000 0.8048  1 Ir 2.36, 1 Ru 2.42
V: 0.0000 0.5000 0.0000  2 Ru 2.23
V: 0.0000 0.5000 0.5000  2 Ru 2.23
V: 0.5000 0.0000 0.0000  2 Ru 2.23
V: 0.5000 0.0000 0.5000  2 Ru 2.23
V: 0.5000 0.5000 0.3048  1 Ir 2.36, 1 Ru 2.42
V: 0.5000 0.5000 0.6952  1 Ir 2.36, 1 Ru 2.42
Ir: 0.0000 0.0000 0.3850  1 V 2.36
Ir: 0.0000 0.0000 0.6150  1 V 2.36
Ir: 0.5000 0.5000 0.1150  1 V 2.36
Ir: 0.5000 0.5000 0.8850  1 V 2.36
Ru: 0.0000 0.0000 0.0000  6 V 2.23-2.42
Ru: 0.5000 0.5000 0.5000  6 V 2.23-2.42

Calculated values
The calculation puts the formation energy at 718 meV per atom. The value obtained for the total magnetization is 3.149 μB per formula unit.

V5IrRu6: relaxed, PBE.

Cell: 7.2385 7.2385 7.2385 Å, 147.40 124.76 65.63°
Last column: nearest neighbours and their distance in Å.
Element x y z (fractional)
V: 0.0000 0.0000 0.0000  8 Ru 2.50-2.56
V: 0.1875 0.6875 0.5000  8 Ru 2.53-2.70
V: 0.3582 0.3582 0.0000  8 Ru 2.57-2.77, 2 Ir 2.67
V: 0.6418 0.6418 0.0000  8 Ru 2.57-2.77, 2 Ir 2.67
V: 0.8125 0.3125 0.5000  8 Ru 2.53-2.70
Ir: 0.5000 0.0000 0.5000  4 V 2.67, 8 Ru 2.74-2.79
Ru: 0.0596 0.8317 0.2279  7 V 2.53-2.77, 1 Ir 2.74
Ru: 0.2158 0.5000 0.7158  6 V 2.50-2.70, 2 Ir 2.79
Ru: 0.3962 0.1683 0.2279  7 V 2.53-2.77, 1 Ir 2.74
Ru: 0.6038 0.8317 0.7721  7 V 2.53-2.77, 1 Ir 2.74
Ru: 0.7842 0.5000 0.2842  6 V 2.50-2.70, 2 Ir 2.79
Ru: 0.9404 0.1683 0.7721  7 V 2.53-2.77, 1 Ir 2.74

Calculated values
The calculation puts the formation energy at -246 meV per atom. The value obtained for the total magnetization is 0.000 μB per formula unit.